Entry 1:
This record from Alexandria via LeMat-Bulk describes crystalline Mn2PbO4 at its relaxed geometry. The functional is PBE with a Hubbard U.

Total magnetization: 8.00 μB/f.u.
DFT total energy: -0.254 hartree per atom

Geometry as extended XYZ:
```
14
Lattice="4.649 -4.472 0.000 4.649 4.472 0.000 -4.623 0.000 4.673" Properties=species:S:1:pos:R:3 pbc="T T T"
Mn 0.000 0.000 0.000
Mn -2.312 0.000 2.337
Mn 2.324 2.236 0.000
Mn 0.013 -2.236 2.337
Pb 1.181 1.107 3.505
Pb 3.493 -1.107 1.168
O -0.357 2.517 4.589
O -2.220 0.285 4.279
O 0.091 -0.285 1.942
O 2.719 2.517 2.421
O 1.955 -2.517 2.252
O 4.583 0.285 2.731
O 6.894 -0.285 0.394
O 5.031 -2.517 0.085
```



Entry 2:
This record from Alexandria via LeMat-Bulk describes crystalline Mn5Pb3O12 at its relaxed geometry. The functional is PBE with a Hubbard U.

Total magnetization: 17.03 μB/f.u.
DFT total energy: -0.245 hartree per atom

Geometry as extended XYZ:
```
80
Lattice="-6.451 6.451 6.451 6.451 -6.451 6.451 6.451 6.451 -6.451" Properties=species:S:1:pos:R:3 pbc="T T T"
Mn 0.000 0.000 0.000
Mn 3.226 3.226 -3.226
Mn 3.226 -3.226 3.226
Mn 6.451 0.000 0.000
Mn 9.677 1.613 0.000
Mn 6.451 -3.226 4.839
Mn 4.839 6.451 -3.226
Mn 4.839 0.000 3.226
Mn 3.226 4.839 0.000
Mn 6.451 3.226 1.613
Mn -3.226 3.226 3.226
Mn 0.000 6.451 0.000
Mn 0.000 0.000 6.451
Mn 3.226 3.226 3.226
Mn 0.000 3.226 4.839
Mn 3.226 1.613 6.451
Mn 1.613 6.451 3.226
Mn 1.613 0.000 9.677
Mn 0.000 9.677 1.613
Mn -3.226 4.839 6.451
Pb 3.226 1.613 0.000
Pb 6.451 3.226 -1.613
Pb 1.613 0.000 3.226
Pb 8.064 0.000 3.226
Pb 0.000 3.226 1.613
Pb 3.226 -1.613 6.451
Pb 3.226 8.064 0.000
Pb 6.451 3.226 4.839
Pb -1.613 6.451 3.226
Pb 4.839 6.451 3.226
Pb 0.000 3.226 8.064
Pb 3.226 4.839 6.451
O 1.881 -0.358 0.566
O 7.796 3.791 -3.583
O 8.333 0.358 0.566
O 7.796 -2.660 3.583
O 6.094 -0.566 1.881
O 10.035 -1.344 2.660
O 0.566 1.881 -0.358
O 9.111 2.868 -1.344
O 3.791 3.583 -1.344
O 5.886 1.881 0.358
O -0.358 0.566 1.881
O 3.583 -1.344 3.791
O 6.094 5.886 -1.881
O 3.583 1.344 2.660
O 3.791 -3.583 7.796
O 5.886 -1.881 6.094
O 2.660 3.583 1.344
O 7.017 4.570 0.358
O 3.583 7.796 -2.660
O 6.094 0.566 4.570
O 1.881 6.094 -0.566
O 7.796 2.660 2.868
O 1.344 2.660 3.583
O 1.881 0.358 5.886
O 4.570 6.094 0.566
O 5.107 3.791 2.868
O -1.344 3.791 3.583
O 4.570 0.358 7.017
O 0.358 5.886 1.881
O 2.868 -1.344 9.111
O -0.566 1.881 6.094
O 3.791 2.868 5.107
O 0.566 8.333 0.358
O 2.660 10.035 -1.344
O 2.868 5.107 3.791
O 0.358 0.566 8.333
O 2.868 7.796 2.660
O 6.809 5.886 4.570
O 0.566 4.570 6.094
O 2.660 2.868 7.796
O -2.660 3.583 7.796
O 5.886 4.570 6.809
O -3.583 7.796 3.791
O 0.358 7.017 4.570
O -1.344 9.111 2.868
O -1.881 6.094 5.886
O -1.344 2.660 10.035
O 4.570 6.809 5.886
```